The following is a GGA+U calculation of a relaxed structure of HfMn3O, from Alexandria via LeMat-Bulk.

```
data_HfMn3O
_cell_length_a 5.163
_cell_length_b 5.163
_cell_length_c 5.163
_cell_angle_alpha 90.00
_cell_angle_beta 90.00
_cell_angle_gamma 90.00
_space_group_name_H-M_alt 'P m -3 m'
_space_group_IT_number 221
_space_group_name_Hall '-P 4 2 3'
loop_
_atom_site_label
_atom_site_fract_x
_atom_site_fract_y
_atom_site_fract_z
Hf1 0.000 0.000 0.000
Mn1 0.000 0.000 0.500
O1 0.500 0.500 0.500
```

## Properties
energy relative to the lowest polymorph listed for this composition	1.945	eV/atom
calculated volume	27.522	Å³ per atom
density of states at the Fermi level	7.0	states/eV/cell
VASP energy	-27.6	eV per cell